Record 1
A relaxed GaFe2Co crystal, computed with GGA-PBEsol.

Structure (extended XYZ):
```
4
Lattice="-1.221 -0.845 -3.694 2.337 -2.112 -2.435 -0.988 -3.734 -0.965" Properties=species:S:1:pos:R:3 pbc="T T T"
Ga 0.000 0.000 0.000
Fe 0.096 -5.018 -5.321
Fe 0.064 -3.346 -3.547
Co 0.032 -1.673 -1.774
```

Results
V in Å³ per cell: 45
Spin magnetization in μB/cell: 4.99
Total DFT energy (no corrections) in eV/cell: -29.65
Energy of formation from the pure elements in kJ/mol of formula units: -63
Symmetry: F-43m, No. 216



Record 2
A relaxed AlCd2Re crystal, computed with GGA-PBEsol.

Structure (extended XYZ):
```
4
Lattice="-2.334 -1.438 0.334 1.838 -2.262 3.110 -0.667 4.607 3.744" Properties=species:S:1:pos:R:3 pbc="T T T"
Al -1.085 1.126 4.381
Re -0.574 2.418 2.098
Cd -0.260 -0.629 2.617
Cd -1.910 -1.142 0.299
```

Results
V in Å³ per cell: 68
Spin magnetization in μB/cell: 0.00
Total DFT energy (no corrections) in eV/cell: -18.75
Energy of formation from the pure elements in kJ/mol of formula units: 103
Symmetry: Amm2, No. 38



Record 3
A relaxed BaScTc crystal, computed with GGA-PBEsol.

Structure (extended XYZ):
```
3
Lattice="3.401 0.000 0.000 -1.700 2.945 0.000 0.000 0.000 7.603" Properties=species:S:1:pos:R:3 pbc="T T T"
Sc 0.000 1.964 4.486
Ba 0.000 0.000 0.366
Tc 1.700 0.982 2.751
```

Results
V in Å³ per cell: 76
Spin magnetization in μB/cell: 0.00
Offset from the most stable computed form in meV per atom: 0
Total DFT energy (no corrections) in eV/cell: -18.17
Energy of formation from the pure elements in kJ/mol of formula units: 179
Symmetry: P3m1, No. 156



Record 4
A relaxed Eu2CdGa crystal, computed with GGA-PBEsol.

Structure (extended XYZ):
```
4
Lattice="-3.556 2.992 2.547 -1.788 -1.486 4.762 1.427 2.705 4.328" Properties=species:S:1:pos:R:3 pbc="T T T"
Cd -1.959 2.105 5.819
Ga 0.000 0.000 0.000
Eu -2.938 3.158 8.728
Eu -0.979 1.053 2.909
```

Results
V in Å³ per cell: 105
Spin magnetization in μB/cell: 13.96
Total DFT energy (no corrections) in eV/cell: -27.35
Energy of formation from the pure elements in kJ/mol of formula units: -162
Symmetry: Fm-3m, No. 225



Record 5
A relaxed CaPt2Br crystal, computed with GGA-PBEsol.

Structure (extended XYZ):
```
4
Lattice="-0.189 -3.012 0.501 0.278 -0.740 -4.338 5.528 -0.281 0.402" Properties=species:S:1:pos:R:3 pbc="T T T"
Pt 4.114 -0.209 0.299
Pt 1.414 -0.072 0.103
Ca 2.809 -2.016 -1.717
Br 0.044 -1.876 -1.918
```

Results
V in Å³ per cell: 75
Spin magnetization in μB/cell: 0.00
Offset from the most stable computed form in meV per atom: 205
Total DFT energy (no corrections) in eV/cell: -18.74
Energy relative to the elements, uncorrected in eV per atom: -0.20
Symmetry: Pmmm, No. 47



Record 6
A relaxed CsMgTa3 crystal, computed with GGA-PBEsol.

Structure (extended XYZ):
```
5
Lattice="4.991 0.000 0.000 0.000 4.991 0.000 0.000 0.000 4.991" Properties=species:S:1:pos:R:3 pbc="T T T"
Ta 2.496 0.000 0.000
Ta 0.000 0.000 2.496
Ta 0.000 2.496 0.000
Cs 0.000 0.000 0.000
Mg 2.496 2.496 2.496
```

Results
V in Å³ per cell: 124
Spin magnetization in μB/cell: 0.00
Total DFT energy (no corrections) in eV/cell: -25.94
Energy of formation from the pure elements in kJ/mol of formula units: 1387
Symmetry: Pm-3m, No. 221



Record 7
A relaxed InMoRu crystal, computed with GGA-PBEsol.

Structure (extended XYZ):
```
3
Lattice="-1.172 -2.244 1.511 2.705 -0.973 0.654 -0.765 4.730 3.556" Properties=species:S:1:pos:R:3 pbc="T T T"
Mo 0.767 -0.453 2.798
In 0.768 1.489 5.683
Ru 0.001 1.992 2.960
```

Results
V in Å³ per cell: 49
Spin magnetization in μB/cell: 0.00
Total DFT energy (no corrections) in eV/cell: -24.75
Energy of formation from the pure elements in kJ/mol of formula units: 17
Symmetry: I4mm, No. 107



Record 8
A relaxed Li2AgTe crystal, computed with GGA-PBEsol.

Structure (extended XYZ):
```
4
Lattice="-2.690 -0.024 -1.666 -1.720 -2.599 2.813 -1.919 4.550 3.031" Properties=species:S:1:pos:R:3 pbc="T T T"
Li -2.711 -0.109 1.374
Li -1.863 4.417 2.943
Te -0.900 2.133 1.421
Ag -3.732 2.310 2.986
```

Results
V in Å³ per cell: 77
Spin magnetization in μB/cell: 0.00
Total DFT energy (no corrections) in eV/cell: -12.16
Energy relative to the elements, uncorrected in eV per atom: -0.35
Symmetry: Pmm2, No. 25